No. 1
# Th5Ge4P, relaxed, DFT GGA-PBE
data_Th5Ge4P
_chemical_formula_sum 'Th5 Ge4 P1'
_symmetry_space_group_name_H-M 'P 1'
_symmetry_Int_Tables_number 1
_cell_length_a 6.044
_cell_length_b 7.404
_cell_length_c 7.404
_cell_angle_alpha 80.41
_cell_angle_beta 65.91
_cell_angle_gamma 65.91
loop_
_symmetry_equiv_pos_as_xyz
'x,y,z'
loop_
_atom_site_label
_atom_site_fract_x
_atom_site_fract_y
_atom_site_fract_z
P1 0.001 0.000 0.000
Ge1 0.402 0.398 0.800
Th1 0.902 0.395 0.802
Ge2 0.600 0.602 0.200
Th2 0.705 0.198 0.395
Ge3 0.202 0.200 0.398
Th3 0.501 0.000 0.000
Ge4 0.800 0.800 0.602
Th4 0.297 0.802 0.605
Th5 0.100 0.605 0.198
# crystal system	tetragonal
# ΔE_f	-928	meV/atom



No. 2
# Ac2NdIr2, relaxed, DFT GGA-PBE
data_Ac2NdIr2
_chemical_formula_sum 'Ac4 Nd2 Ir4'
_symmetry_space_group_name_H-M 'P 1'
_symmetry_Int_Tables_number 1
_cell_length_a 4.407
_cell_length_b 7.498
_cell_length_c 10.142
_cell_angle_alpha 90.00
_cell_angle_beta 102.55
_cell_angle_gamma 90.00
loop_
_symmetry_equiv_pos_as_xyz
'x,y,z'
loop_
_atom_site_label
_atom_site_fract_x
_atom_site_fract_y
_atom_site_fract_z
Ir1 0.338 0.003 0.676
Ac1 0.415 0.343 0.829
Ac2 0.750 0.172 0.501
Ir2 0.163 0.008 0.327
Ir3 0.837 0.508 0.673
Ac3 0.585 0.843 0.171
Nd1 0.906 0.840 0.812
Ac4 0.250 0.672 0.499
Ir4 0.662 0.503 0.324
Nd2 0.094 0.340 0.188
# distance to the lowest polymorph of the same formula	41.3	meV per atom
# crystal system	orthorhombic
# ΔE_f	-531	meV/atom



No. 3
# Na2TlNiI, relaxed, DFT GGA-PBE
data_Na2TlNiI
_chemical_formula_sum 'Na2 Tl1 Ni1 I1'
_symmetry_space_group_name_H-M 'P 1'
_symmetry_Int_Tables_number 1
_cell_length_a 5.699
_cell_length_b 6.619
_cell_length_c 5.699
_cell_angle_alpha 90.00
_cell_angle_beta 90.00
_cell_angle_gamma 90.00
loop_
_symmetry_equiv_pos_as_xyz
'x,y,z'
loop_
_atom_site_label
_atom_site_fract_x
_atom_site_fract_y
_atom_site_fract_z
Tl1 0.000 0.500 0.000
Ni1 0.500 0.500 0.500
Na1 0.000 0.000 0.500
I1 0.000 0.000 0.000
Na2 0.500 0.000 0.000
# crystal system	tetragonal
# formation energy without anion corrections	42.9	kJ/mol of atoms



No. 4
# CrPbI3, relaxed, DFT GGA-PBE
data_CrPbI3
_chemical_formula_sum 'Cr1 Pb1 I3'
_symmetry_space_group_name_H-M 'P 1'
_symmetry_Int_Tables_number 1
_cell_length_a 5.595
_cell_length_b 5.595
_cell_length_c 5.595
_cell_angle_alpha 90.00
_cell_angle_beta 90.00
_cell_angle_gamma 90.00
loop_
_symmetry_equiv_pos_as_xyz
'x,y,z'
loop_
_atom_site_label
_atom_site_fract_x
_atom_site_fract_y
_atom_site_fract_z
I1 0.000 0.500 0.000
I2 0.000 0.000 0.500
I3 0.500 0.000 0.000
Cr1 0.000 0.000 0.000
Pb1 0.500 0.500 0.500
# distance to the lowest polymorph of the same formula	0.0	meV per atom
# crystal system	cubic
# formation energy without anion corrections	-7.6	kJ/mol of atoms



No. 5
# Y2Se2F, relaxed, DFT GGA-PBE
data_Y2Se2F
_chemical_formula_sum 'Y4 Se4 F2'
_symmetry_space_group_name_H-M 'P 1'
_symmetry_Int_Tables_number 1
_cell_length_a 7.431
_cell_length_b 7.431
_cell_length_c 3.885
_cell_angle_alpha 90.00
_cell_angle_beta 90.00
_cell_angle_gamma 90.00
loop_
_symmetry_equiv_pos_as_xyz
'x,y,z'
loop_
_atom_site_label
_atom_site_fract_x
_atom_site_fract_y
_atom_site_fract_z
Y1 0.659 0.159 0.000
Y2 0.159 0.341 0.000
Se1 0.147 0.647 0.500
Se2 0.853 0.353 0.500
Se3 0.353 0.147 0.500
Y3 0.841 0.659 0.000
F1 0.000 0.000 0.000
Y4 0.341 0.841 0.000
Se4 0.647 0.853 0.500
F2 0.500 0.500 0.000
# distance to the lowest polymorph of the same formula	198.8	meV per atom
# crystal system	tetragonal
# formation energy without anion corrections	-209.8	kJ/mol of atoms



No. 6
# CaSb2TeW, relaxed, DFT GGA-PBE
data_CaSb2TeW
_chemical_formula_sum 'Ca1 Sb2 Te1 W1'
_symmetry_space_group_name_H-M 'P 1'
_symmetry_Int_Tables_number 1
_cell_length_a 5.160
_cell_length_b 5.160
_cell_length_c 5.997
_cell_angle_alpha 90.00
_cell_angle_beta 90.00
_cell_angle_gamma 90.00
loop_
_symmetry_equiv_pos_as_xyz
'x,y,z'
loop_
_atom_site_label
_atom_site_fract_x
_atom_site_fract_y
_atom_site_fract_z
W1 0.000 0.000 0.000
Sb1 0.500 0.000 0.000
Sb2 0.000 0.500 0.000
Te1 0.000 0.000 0.500
Ca1 0.500 0.500 0.500
# distance to the lowest polymorph of the same formula	0.0	meV per atom
# crystal system	tetragonal
# formation energy without anion corrections	21.0	kJ/mol of atoms



No. 7
# Zn5InNi6, relaxed, DFT GGA-PBE
data_Zn5InNi6
_chemical_formula_sum 'Zn5 In1 Ni6'
_symmetry_space_group_name_H-M 'P 1'
_symmetry_Int_Tables_number 1
_cell_length_a 3.883
_cell_length_b 7.026
_cell_length_c 7.026
_cell_angle_alpha 113.07
_cell_angle_beta 106.04
_cell_angle_gamma 106.04
loop_
_symmetry_equiv_pos_as_xyz
'x,y,z'
loop_
_atom_site_label
_atom_site_fract_x
_atom_site_fract_y
_atom_site_fract_z
Ni1 0.743 0.913 0.574
Zn1 0.000 0.669 0.331
Ni2 0.234 0.734 0.734
Ni3 0.743 0.574 0.913
Zn2 0.500 0.500 0.500
Zn3 0.500 0.830 0.170
Ni4 0.766 0.266 0.266
Ni5 0.257 0.426 0.087
Zn4 0.000 0.331 0.669
Zn5 0.500 0.170 0.830
Ni6 0.257 0.087 0.426
In1 0.000 0.000 0.000
# crystal system	orthorhombic
# ΔE_f	-201	meV/atom



No. 8
# Ce3ErIr2, relaxed, DFT GGA-PBE
data_Ce3ErIr2
_chemical_formula_sum 'Ce6 Er2 Ir4'
_symmetry_space_group_name_H-M 'P 1'
_symmetry_Int_Tables_number 1
_cell_length_a 4.099
_cell_length_b 8.527
_cell_length_c 9.440
_cell_angle_alpha 114.77
_cell_angle_beta 90.00
_cell_angle_gamma 103.91
loop_
_symmetry_equiv_pos_as_xyz
'x,y,z'
loop_
_atom_site_label
_atom_site_fract_x
_atom_site_fract_y
_atom_site_fract_z
Ce1 0.056 0.112 0.388
Ir1 0.251 0.501 0.893
Ce2 0.365 0.730 0.259
Ir2 0.526 0.052 0.172
Ce3 0.944 0.888 0.612
Er1 0.889 0.778 0.963
Ir3 0.474 0.948 0.828
Ce4 0.723 0.447 0.387
Ce5 0.635 0.270 0.741
Er2 0.111 0.222 0.037
Ce6 0.277 0.553 0.613
Ir4 0.749 0.499 0.107
# crystal system	monoclinic
# ΔE_f	-548	meV/atom



No. 9
# YBe2Ir2, relaxed, DFT GGA-PBE
data_YBe2Ir2
_chemical_formula_sum 'Y2 Be4 Ir4'
_symmetry_space_group_name_H-M 'P 1'
_symmetry_Int_Tables_number 1
_cell_length_a 7.077
_cell_length_b 7.077
_cell_length_c 2.869
_cell_angle_alpha 90.00
_cell_angle_beta 90.00
_cell_angle_gamma 90.00
loop_
_symmetry_equiv_pos_as_xyz
'x,y,z'
loop_
_atom_site_label
_atom_site_fract_x
_atom_site_fract_y
_atom_site_fract_z
Ir1 0.147 0.353 0.000
Ir2 0.853 0.647 0.000
Ir3 0.647 0.147 0.000
Be1 0.862 0.362 0.500
Be2 0.362 0.138 0.500
Be3 0.638 0.862 0.500
Be4 0.138 0.638 0.500
Ir4 0.353 0.853 0.000
Y1 0.000 0.000 0.000
Y2 0.500 0.500 0.000
# distance to the lowest polymorph of the same formula	300.7	meV per atom
# crystal system	tetragonal
# ΔE_f	-378	meV/atom



No. 10
# CoPt14W, relaxed, DFT GGA-PBE
data_CoPt14W
_chemical_formula_sum 'Co1 Pt14 W1'
_symmetry_space_group_name_H-M 'P 1'
_symmetry_Int_Tables_number 1
_cell_length_a 5.606
_cell_length_b 5.606
_cell_length_c 7.841
_cell_angle_alpha 90.00
_cell_angle_beta 90.00
_cell_angle_gamma 90.00
loop_
_symmetry_equiv_pos_as_xyz
'x,y,z'
loop_
_atom_site_label
_atom_site_fract_x
_atom_site_fract_y
_atom_site_fract_z
Pt1 0.125 0.625 0.741
Pt2 0.625 0.625 0.259
Pt3 0.875 0.375 0.000
Pt4 0.375 0.875 0.500
W1 0.875 0.875 0.500
Pt5 0.125 0.625 0.259
Pt6 0.375 0.875 0.000
Pt7 0.875 0.375 0.500
Pt8 0.875 0.875 0.000
Co1 0.375 0.375 0.500
Pt9 0.125 0.125 0.259
Pt10 0.625 0.125 0.741
Pt11 0.125 0.125 0.741
Pt12 0.625 0.125 0.259
Pt13 0.375 0.375 0.000
Pt14 0.625 0.625 0.741
# crystal system	tetragonal
# ΔE_f	-122	meV/atom



No. 11
# Li3Zn2Rh2, relaxed, DFT GGA-PBE
data_Li3Zn2Rh2
_chemical_formula_sum 'Li3 Zn2 Rh2'
_symmetry_space_group_name_H-M 'P 1'
_symmetry_Int_Tables_number 1
_cell_length_a 3.824
_cell_length_b 4.599
_cell_length_c 6.069
_cell_angle_alpha 96.04
_cell_angle_beta 90.00
_cell_angle_gamma 114.57
loop_
_symmetry_equiv_pos_as_xyz
'x,y,z'
loop_
_atom_site_label
_atom_site_fract_x
_atom_site_fract_y
_atom_site_fract_z
Rh1 0.424 0.847 0.289
Li1 0.714 0.428 0.151
Li2 0.000 0.000 0.000
Rh2 0.576 0.153 0.711
Zn1 0.862 0.724 0.574
Li3 0.286 0.572 0.849
Zn2 0.138 0.276 0.426
# distance to the lowest polymorph of the same formula	24.0	meV per atom
# crystal system	monoclinic
# ΔE_f	-224	meV/atom



No. 12
# Nb2RhBr, relaxed, DFT GGA-PBE
data_Nb2RhBr
_chemical_formula_sum 'Nb4 Rh2 Br2'
_symmetry_space_group_name_H-M 'P 1'
_symmetry_Int_Tables_number 1
_cell_length_a 7.077
_cell_length_b 7.077
_cell_length_c 5.825
_cell_angle_alpha 52.59
_cell_angle_beta 52.59
_cell_angle_gamma 90.00
loop_
_symmetry_equiv_pos_as_xyz
'x,y,z'
loop_
_atom_site_label
_atom_site_fract_x
_atom_site_fract_y
_atom_site_fract_z
Rh1 0.750 0.250 0.500
Br1 0.250 0.750 0.500
Nb1 0.375 0.374 0.750
Rh2 0.000 0.000 0.000
Nb2 0.124 0.625 0.250
Nb3 0.875 0.876 0.750
Nb4 0.626 0.125 0.250
Br2 0.500 0.500 0.000
# distance to the lowest polymorph of the same formula	198.3	meV per atom
# crystal system	tetragonal
# formation energy without anion corrections	44.5	kJ/mol of atoms